No. 1
Here is crystalline CuRhPb2 at its relaxed geometry from the Alexandria database. Energies are from GGA-PBE.

Properties
offset from the most stable computed form	91	meV per atom
total magnetization	0.000	μB/atom
calculated formation energy	0.138	eV/atom
D(E_F)	0.55	states/eV/atom
E_tot	-18.312	eV/f.u.

Cell: 4.4218 4.4218 6.2196 Å, 74.96 74.96 52.73°
Last column: nearest neighbours and their distance in Å.
Positions (direct):
Cu  0.7717  0.7717  0.6767  3 Rh 2.53-2.56, 1 Pb 2.82
Pb  0.0269  0.0269  0.9114  3 Cu 2.82-2.85, 2 Rh 2.97
Pb  0.2203  0.2203  0.3377  3 Rh 2.83-2.86, 2 Cu 2.99
Rh  0.4811  0.4811  0.5742  3 Cu 2.53-2.56, 2 Pb 2.83

No. 2
Here is crystalline CuRh2Pb at its relaxed geometry from the Alexandria database. Energies are from GGA-PBE.

Properties
total magnetization	0.000	μB/atom
calculated formation energy	0.145	eV/atom
D(E_F)	1.11	states/eV/atom
E_tot	-21.927	eV/f.u.

Cell: 4.8526 4.8526 4.8526 Å, 130.64 130.64 72.39°
Last column: nearest neighbours and their distance in Å.
Positions (direct):
Cu  0.5000  0.5000  0.0000  8 Rh 2.82-2.87, 4 Pb 2.82
Pb  0.2500  0.7500  0.5000  4 Cu 2.82, 8 Rh 2.82-2.87
Rh  0.0000  0.0000  0.0000  4 Rh 2.82, 4 Pb 2.82, 4 Cu 2.87
Rh  0.7500  0.2500  0.5000  4 Cu 2.82, 4 Rh 2.82, 4 Pb 2.87

No. 3
Here is crystalline CuRhPb2 at its relaxed geometry from the Alexandria database. Energies are from GGA-PBE.

Properties
offset from the most stable computed form	223	meV per atom
total magnetization	0.000	μB/atom
calculated formation energy	0.270	eV/atom
D(E_F)	0.99	states/eV/atom
E_tot	-17.783	eV/f.u.

Cell: 5.7399 5.7399 5.7399 Å, 138.54 138.54 60.08°
Last column: nearest neighbours and their distance in Å.
Positions (direct):
Cu  0.7500  0.2500  0.5000  8 Pb 2.87-3.21, 4 Rh 3.21
Pb  0.0000  0.0000  0.0000  4 Rh 2.87, 4 Pb 3.21, 4 Cu 3.21
Pb  0.2500  0.7500  0.5000  4 Cu 2.87, 4 Rh 3.21, 4 Pb 3.21
Rh  0.5000  0.5000  0.0000  8 Pb 2.87-3.21, 4 Cu 3.21

No. 4
Here is crystalline CuRhPb2 at its relaxed geometry from the Alexandria database. Energies are from GGA-PBE.

Properties
offset from the most stable computed form	117	meV per atom
total magnetization	0.000	μB/atom
calculated formation energy	0.165	eV/atom
D(E_F)	0.50	states/eV/atom
E_tot	-18.205	eV/f.u.

Cell: 6.4681 6.4681 6.4681 Å, 150.71 139.36 50.88°
Last column: nearest neighbours and their distance in Å.
Positions (direct):
Cu  0.6932  0.1932  0.5000  2 Rh 2.65
Pb  0.0063  0.0063  0.0000  4 Rh 2.78
Pb  0.2854  0.7854  0.5000  4 Cu 2.98, 2 Rh 3.14, 2 Pb 3.27
Rh  0.5152  0.5152  0.0000  2 Cu 2.65, 4 Pb 2.78

No. 5
Here is crystalline Cu2RhPb at its relaxed geometry from the Alexandria database. Energies are from GGA-PBE.

Properties
total magnetization	0.000	μB/atom
calculated formation energy	0.156	eV/atom
D(E_F)	0.42	states/eV/atom
E_tot	-18.627	eV/f.u.

Cell: 4.4706 4.4706 4.4706 Å, 60.00 60.00 60.00°
Last column: nearest neighbours and their distance in Å.
Positions (direct):
Cu  0.0000  0.0000  0.0000  4 Cu 2.74, 4 Rh 2.74
Cu  0.7500  0.7500  0.7500  4 Cu 2.74, 4 Pb 2.74
Pb  0.5000  0.5000  0.5000  4 Rh 2.74, 4 Cu 2.74
Rh  0.2500  0.2500  0.2500  4 Cu 2.74, 4 Pb 2.74

No. 6
Here is crystalline CuRh4Pb at its relaxed geometry from the Alexandria database. Energies are from GGA-PBE.

Properties
total magnetization	0.000	μB/atom
calculated formation energy	0.331	eV/atom
D(E_F)	1.81	states/eV/atom
E_tot	-35.225	eV/f.u.

Cell: 5.2114 5.2114 5.2114 Å, 60.00 60.00 60.00°
Last column: nearest neighbours and their distance in Å.
Positions (direct):
Cu  0.7500  0.7500  0.7500  12 Rh 3.05, 4 Pb 3.19
Rh  0.8740  0.3753  0.3753  6 Rh 2.60-2.61
Rh  0.3753  0.3753  0.8740  6 Rh 2.60-2.61
Rh  0.3753  0.8740  0.3753  6 Rh 2.60-2.61
Rh  0.3753  0.3753  0.3753  6 Rh 2.60-2.61
Pb  0.0000  0.0000  0.0000  12 Rh 3.06, 4 Cu 3.19

No. 7
Here is crystalline CuRh2Pb at its relaxed geometry from the Alexandria database. Energies are from GGA-PBE.

Properties
total magnetization	0.000	μB/atom
calculated formation energy	0.062	eV/atom
D(E_F)	1.05	states/eV/atom
E_tot	-22.257	eV/f.u.

Cell: 4.2417 4.2414 3.5616 Å, 90.00 90.00 90.00°
Last column: nearest neighbours and their distance in Å.
Positions (direct):
Cu  0.5000  0.0000  0.5000  8 Rh 2.77, 4 Pb 3.00
Pb  0.0000  0.5000  0.5000  8 Rh 2.77, 4 Cu 3.00
Rh  0.0000  0.0000  0.0000  4 Pb 2.77, 4 Cu 2.77, 4 Rh 3.00
Rh  0.5000  0.5000  0.0000  4 Cu 2.77, 4 Pb 2.77, 4 Rh 3.00

No. 8
Here is crystalline CuRh2Pb at its relaxed geometry from the Alexandria database. Energies are from GGA-PBE.

Properties
total magnetization	0.242	μB/atom
calculated formation energy	0.413	eV/atom
D(E_F)	1.31	states/eV/atom
E_tot	-20.855	eV/f.u.

Cell: 9.0003 9.0003 9.0003 Å, 19.23 19.23 19.23°
Last column: nearest neighbours and their distance in Å.
Positions (direct):
Cu  0.5085  0.5085  0.5085  3 Rh 2.62
Pb  0.7494  0.7494  0.7494  3 Rh 2.95, 3 Cu 3.00, 6 Pb 3.01
Rh  0.9927  0.9927  0.9927  3 Rh 2.67, 3 Pb 2.95
Rh  0.2494  0.2494  0.2494  3 Cu 2.62, 3 Rh 2.67

No. 9
Here is crystalline CuRh3Pb at its relaxed geometry from the Alexandria database. Energies are from GGA-PBE.

Properties
offset from the most stable computed form	0	meV per atom
total magnetization	0.000	μB/atom
calculated formation energy	0.811	eV/atom
D(E_F)	1.81	states/eV/atom
E_tot	-25.805	eV/f.u.

Cell: 4.5492 4.5492 4.5492 Å, 90.00 90.00 90.00°
Last column: nearest neighbours and their distance in Å.
Positions (direct):
Pb  0.5000  0.5000  0.5000  12 Rh 3.22
Rh  0.0000  0.5000  0.0000  2 Cu 2.27
Rh  0.0000  0.0000  0.5000  2 Cu 2.27
Rh  0.5000  0.0000  0.0000  2 Cu 2.27
Cu  0.0000  0.0000  0.0000  6 Rh 2.27

No. 10
Here is crystalline CuRhPb2 at its relaxed geometry from the Alexandria database. Energies are from GGA-PBE.

Properties
offset from the most stable computed form	159	meV per atom
total magnetization	0.000	μB/atom
calculated formation energy	0.207	eV/atom
D(E_F)	0.68	states/eV/atom
E_tot	-18.038	eV/f.u.

Cell: 4.8755 4.8755 3.3993 Å, 89.86 89.86 90.06°
Last column: nearest neighbours and their distance in Å.
Positions (direct):
Cu  0.0000  0.5000  0.5000  8 Pb 2.97-2.98
Pb  0.0000  0.0000  0.0000  4 Cu 2.97-2.98, 4 Rh 2.97-2.98
Pb  0.5000  0.5000  0.0000  4 Rh 2.97-2.98, 4 Cu 2.97-2.98
Rh  0.5000  0.0000  0.5000  8 Pb 2.97-2.98

No. 11
Here is crystalline CuRh2Pb at its relaxed geometry from the Alexandria database. Energies are from GGA-PBE.

Properties
total magnetization	0.000	μB/atom
calculated formation energy	0.151	eV/atom
D(E_F)	0.92	states/eV/atom
E_tot	-21.905	eV/f.u.

Cell: 5.2021 5.2021 4.6662 Å, 67.97 67.97 34.22°
Last column: nearest neighbours and their distance in Å.
Positions (direct):
Cu  0.4911  0.4911  0.5796  7 Rh 2.75-2.80, 3 Pb 2.86-2.98, 2 Cu 3.06
Pb  0.2544  0.2544  0.1787  7 Rh 2.71-2.84, 3 Cu 2.86-2.98
Rh  0.0065  0.0065  0.0690  3 Pb 2.71-2.81, 4 Cu 2.78-2.80, 3 Rh 2.84-2.98
Rh  0.7480  0.7480  0.6727  4 Pb 2.75-2.84, 3 Cu 2.75, 5 Rh 2.84-3.06

No. 12
Here is crystalline CuRh2Pb at its relaxed geometry from the Alexandria database. Energies are from GGA-PBE.

Properties
total magnetization	0.000	μB/atom
calculated formation energy	0.190	eV/atom
D(E_F)	1.76	states/eV/atom
E_tot	-21.748	eV/f.u.

Cell: 4.5060 4.5060 4.5060 Å, 60.00 60.00 60.00°
Last column: nearest neighbours and their distance in Å.
Positions (direct):
Cu  0.5000  0.5000  0.5000  4 Pb 2.76, 4 Rh 2.76
Pb  0.7500  0.7500  0.7500  4 Cu 2.76, 4 Rh 2.76
Rh  0.0000  0.0000  0.0000  4 Pb 2.76, 4 Rh 2.76
Rh  0.2500  0.2500  0.2500  4 Rh 2.76, 4 Cu 2.76